(1)
Ac2PmTl | GGA-PBE | relaxed

Cell: 8.3789 8.3789 8.3789 Å, 90.00 90.00 90.00°
Space group Fm-3m (No. 225)
Inequivalent atoms, fractional coordinates:
Ac1 0.2500 0.2500 0.2500 (multiplicity 8)
Pm1 0.0000 0.0000 0.0000 (multiplicity 4)
Tl1 0.0000 0.0000 0.5000 (multiplicity 4)

Output
Distance to the lowest polymorph of the same formula ... 127 meV/atom
DFT formation energy ... -0.01 eV per atom



(2)
EuInTe2 | GGA-PBE | relaxed

Cell: 5.4750 5.4750 4.0154 Å, 90.00 90.00 90.00°
Space group P4/mmm (No. 123)
Inequivalent atoms, fractional coordinates:
Eu1 0.0000 0.0000 0.0000 (multiplicity 1)
In1 0.5000 0.5000 0.0000 (multiplicity 1)
Te1 0.0000 0.5000 0.5000 (multiplicity 2)

Output
Formation energy from raw total energies ... -813.4 meV per atom



(3)
La2UZnN5 | GGA-PBE | relaxed

Cell: 3.5307 13.8369 10.8369 Å, 90.00 90.00 90.00°
Space group Cmc2_1 (No. 36)
Inequivalent atoms, fractional coordinates:
La1 0.0000 0.1053 0.0000 (multiplicity 4)
La2 0.0000 0.1284 0.6117 (multiplicity 4)
U1 0.0000 0.2066 0.3203 (multiplicity 4)
Zn1 0.0000 0.4797 0.7738 (multiplicity 4)
N1 0.0000 0.0581 0.3557 (multiplicity 4)
N2 0.0000 0.2818 0.9474 (multiplicity 4)
N3 0.0000 0.3029 0.6921 (multiplicity 4)
N4 0.0000 0.3562 0.3127 (multiplicity 4)
N5 0.0000 0.4953 0.0900 (multiplicity 4)

Output
Formation energy from raw total energies ... -964.2 meV per atom



(4)
MgAuO2 | GGA-PBE | relaxed

Cell: 5.1460 5.1460 8.5358 Å, 90.00 90.00 90.00°
Space group I-42d (No. 122)
Inequivalent atoms, fractional coordinates:
Mg1 0.0000 0.0000 0.0000 (multiplicity 4)
Au1 0.0000 0.0000 0.5000 (multiplicity 4)
O1 0.2048 0.2500 0.1250 (multiplicity 8)

Output
Formation energy from raw total energies ... -955.4 meV per atom



(5)
Y2HgBr2 | GGA-PBE | relaxed

Cell: 4.0099 4.0099 33.9951 Å, 90.00 90.00 120.00°
Space group R-3m (No. 166, hexagonal axes)
Inequivalent atoms, fractional coordinates:
Y1 0.0000 0.0000 0.1085 (multiplicity 6)
Hg1 0.0000 0.0000 0.5000 (multiplicity 3)
Br1 0.0000 0.0000 0.2783 (multiplicity 6)

Output
Formation energy from raw total energies ... -1199.8 meV per atom



(6)
Tb2Nd2Dy15 | GGA-PBE | relaxed

Cell: 11.2046 11.2046 17.5759 Å, 90.00 90.00 120.00°
Space group R-3m (No. 166, hexagonal axes)
Inequivalent atoms, fractional coordinates:
Tb1 0.0000 0.0000 0.0954 (multiplicity 6)
Nd1 0.0000 0.0000 0.3267 (multiplicity 6)
Dy1 0.0000 0.2980 0.0000 (multiplicity 18)
Dy2 0.0000 0.5000 0.5000 (multiplicity 9)
Dy3 0.0124 0.5062 0.1368 (multiplicity 18)

Output
DFT formation energy ... 0.28 eV per atom



(7)
Zr2CrCl | GGA-PBE | relaxed

Cell: 3.1703 3.1703 9.0987 Å, 90.00 90.00 90.00°
Space group P4mm (No. 99)
Inequivalent atoms, fractional coordinates:
Zr1 0.0000 0.0000 0.0000 (multiplicity 1)
Zr2 0.5000 0.5000 0.2614 (multiplicity 1)
Cr1 0.5000 0.5000 0.7952 (multiplicity 1)
Cl1 0.0000 0.0000 0.4429 (multiplicity 1)

Output
Formation energy from raw total energies ... -52.3 meV per atom
Distance to the lowest polymorph of the same formula ... 349 meV/atom



(8)
Al4P3 | GGA-PBE | relaxed

Cell: 4.9564 4.9564 5.2706 Å, 90.00 90.00 120.00°
Space group P6/mmm (No. 191)
Inequivalent atoms, fractional coordinates:
Al1 0.0000 0.0000 0.2445 (multiplicity 2)
Al2 0.3333 0.6667 0.0000 (multiplicity 2)
P1 0.0000 0.5000 0.5000 (multiplicity 3)

Output
DFT formation energy ... 0.29 eV per atom



(9)
Dy2TlSn | GGA-PBE | relaxed

Cell: 3.7971 3.7971 27.9061 Å, 90.00 90.00 120.00°
Space group R-3m (No. 166, hexagonal axes)
Inequivalent atoms, fractional coordinates:
Dy1 0.0000 0.0000 0.2482 (multiplicity 6)
Tl1 0.0000 0.0000 0.0000 (multiplicity 3)
Sn1 0.0000 0.0000 0.5000 (multiplicity 3)

Output
DFT formation energy ... -0.39 eV per atom



(10)
Zn2GePt2 | GGA-PBE | relaxed

Cell: 4.2170 4.2170 5.4499 Å, 90.00 90.00 120.00°
Space group P-3m1 (No. 164)
Inequivalent atoms, fractional coordinates:
Zn1 0.3333 0.6667 0.3780 (multiplicity 2)
Ge1 0.0000 0.0000 0.0000 (multiplicity 1)
Pt1 0.3333 0.6667 0.8489 (multiplicity 2)

Output
Distance to the lowest polymorph of the same formula ... 0 meV/atom
DFT formation energy ... -0.40 eV per atom



(11)
NaSn | GGA-PBE | relaxed

Cell: 4.5400 5.1446 9.5512 Å, 90.00 90.00 90.00°
Space group Imma (No. 74)
Inequivalent atoms, fractional coordinates:
Na1 0.0000 0.2500 0.1153 (multiplicity 4)
Sn1 0.0000 0.2500 0.6488 (multiplicity 4)

Output
DFT formation energy ... -0.17 eV per atom



(12)
Ca3ErTh2Sb6 | GGA-PBE | relaxed

Cell: 7.8097 13.5284 7.8127 Å, 90.00 109.49 90.00°
Space group C2/m (No. 12)
Inequivalent atoms, fractional coordinates:
Ca1 0.0000 0.0000 0.0000 (multiplicity 2)
Ca2 0.0000 0.3309 0.0000 (multiplicity 4)
Er1 0.0000 0.5000 0.5000 (multiplicity 2)
Th1 0.0000 0.1662 0.5000 (multiplicity 4)
Sb1 0.2444 0.3359 0.7417 (multiplicity 8)
Sb2 0.2465 0.5000 0.2559 (multiplicity 4)

Output
Formation energy from raw total energies ... -961.8 meV per atom



(13)
SbPPt4 | GGA-PBE | relaxed

Cell: 7.5661 7.5661 7.5661 Å, 90.00 90.00 90.00°
Space group F-43m (No. 216)
Inequivalent atoms, fractional coordinates:
Sb1 0.0000 0.0000 0.0000 (multiplicity 4)
P1 0.2500 0.2500 0.2500 (multiplicity 4)
Pt1 0.1247 0.1247 0.6247 (multiplicity 16)

Output
Formation energy from raw total energies ... 284.7 meV per atom
Distance to the lowest polymorph of the same formula ... 578 meV/atom



(14)
Na4SnHg3 | GGA-PBE | relaxed

Cell: 18.9333 4.7531 4.7530 Å, 90.00 104.41 90.00°
Space group C2/m (No. 12)
Inequivalent atoms, fractional coordinates:
Na1 0.1248 0.0000 0.1244 (multiplicity 4)
Na2 0.1248 0.5000 0.6251 (multiplicity 4)
Sn1 0.0000 0.5000 0.0000 (multiplicity 2)
Hg1 0.0000 0.0000 0.5000 (multiplicity 2)
Hg2 0.2491 0.0000 0.7473 (multiplicity 4)

Output
DFT formation energy ... -0.20 eV per atom



(15)
Ac2Tb2Pr3 | GGA-PBE | relaxed

Cell: 5.8540 5.8586 9.5233 Å, 107.56 90.42 119.73°
Space group P-1 (No. 2)
Inequivalent atoms, fractional coordinates:
Ac1 0.1345 0.2676 0.4020 (multiplicity 2)
Tb1 0.4073 0.8146 0.2215 (multiplicity 2)
Pr1 0.0000 0.0000 0.0000 (multiplicity 1)
Pr2 0.2718 0.5441 0.8158 (multiplicity 2)

Output
DFT formation energy ... 0.13 eV per atom



(16)
NiSbW2 | GGA-PBE | relaxed

Cell: 3.0317 3.0317 6.9826 Å, 90.00 90.00 90.00°
Space group P4/mmm (No. 123)
Inequivalent atoms, fractional coordinates:
Ni1 0.0000 0.0000 0.0000 (multiplicity 1)
Sb1 0.0000 0.0000 0.5000 (multiplicity 1)
W1 0.5000 0.5000 0.2186 (multiplicity 2)

Output
Formation energy from raw total energies ... 597.0 meV per atom



(17)
Pm2TmCo | GGA-PBE | relaxed

Cell: 6.5211 6.2417 11.2959 Å, 90.00 90.00 90.00°
Space group Pnna (No. 52)
Inequivalent atoms, fractional coordinates:
Pm1 0.0875 0.2461 0.0873 (multiplicity 8)
Tm1 0.0827 0.2500 0.7500 (multiplicity 4)
Co1 0.2500 0.0000 0.9110 (multiplicity 4)

Output
Distance to the lowest polymorph of the same formula ... 52 meV/atom
DFT formation energy ... -0.06 eV per atom



(18)
La3DyGe6 | GGA-PBE | relaxed

Cell: 12.0967 12.0967 11.6885 Å, 90.00 90.00 120.00°
Space group R-3c (No. 167, hexagonal axes)
Inequivalent atoms, fractional coordinates:
La1 0.0000 0.4339 0.2500 (multiplicity 18)
Dy1 0.0000 0.0000 0.0000 (multiplicity 6)
Ge1 0.0711 0.2180 0.3395 (multiplicity 36)

Output
DFT formation energy ... -0.71 eV per atom



(19)
Mg3NiPb | GGA-PBE | relaxed

Cell: 3.6371 7.4581 8.5009 Å, 94.77 102.15 103.76°
Space group P-1 (No. 2)
Inequivalent atoms, fractional coordinates:
Mg1 0.0698 0.4169 0.2285 (multiplicity 2)
Mg2 0.3555 0.2812 0.9313 (multiplicity 2)
Mg3 0.4054 0.0400 0.2743 (multiplicity 2)
Ni1 0.1808 0.9138 0.9455 (multiplicity 2)
Pb1 0.1667 0.2672 0.5580 (multiplicity 2)

Output
Distance to the lowest polymorph of the same formula ... 0 meV/atom
DFT formation energy ... -0.09 eV per atom



(20)
ZnTe2PbO | GGA-PBE | relaxed

Cell: 5.5076 5.5076 4.1065 Å, 90.00 90.00 90.00°
Space group P4/mmm (No. 123)
Inequivalent atoms, fractional coordinates:
Zn1 0.0000 0.0000 0.0000 (multiplicity 1)
Te1 0.0000 0.5000 0.5000 (multiplicity 2)
Pb1 0.5000 0.5000 0.0000 (multiplicity 1)
O1 0.0000 0.0000 0.5000 (multiplicity 1)

Output
Formation energy from raw total energies ... -123.5 meV per atom



(21)
LuPaZnIn | GGA-PBE | relaxed

Cell: 7.2752 7.2752 7.2752 Å, 90.00 90.00 90.00°
Space group F-43m (No. 216)
Inequivalent atoms, fractional coordinates:
Lu1 0.0000 0.0000 0.0000 (multiplicity 4)
Pa1 0.0000 0.0000 0.5000 (multiplicity 4)
Zn1 0.2500 0.2500 0.7500 (multiplicity 4)
In1 0.2500 0.2500 0.2500 (multiplicity 4)

Output
DFT formation energy ... -0.04 eV per atom



(22)
AlAg3 | GGA-PBE | relaxed

Cell: 2.9681 2.9681 15.6816 Å, 90.00 90.00 90.00°
Space group P4/nmm (No. 129, origin choice 2)
Inequivalent atoms, fractional coordinates:
Al1 0.2500 0.2500 0.1839 (multiplicity 2)
Ag1 0.2500 0.2500 0.4346 (multiplicity 2)
Ag2 0.2500 0.2500 0.7001 (multiplicity 2)
Ag3 0.2500 0.2500 0.9318 (multiplicity 2)

Output
DFT formation energy ... -0.02 eV per atom



(23)
PmTeBr2 | GGA-PBE | relaxed

Cell: 4.0327 15.2366 9.2471 Å, 90.00 90.00 90.00°
Space group Cmcm (No. 63)
Inequivalent atoms, fractional coordinates:
Pm1 0.0000 0.2438 0.2500 (multiplicity 4)
Te1 0.0000 0.4159 0.7500 (multiplicity 4)
Br1 0.0000 0.1607 0.5647 (multiplicity 8)

Output
Formation energy from raw total energies ... -1294.7 meV per atom



(24)
NdIn3Rh3 | GGA-PBE | relaxed

Cell: 7.1834 7.1834 7.1834 Å, 90.00 90.00 90.00°
Space group Pm-3n (No. 223)
Inequivalent atoms, fractional coordinates:
Nd1 0.0000 0.0000 0.0000 (multiplicity 2)
In1 0.0000 0.2500 0.5000 (multiplicity 6)
Rh1 0.0000 0.5000 0.2500 (multiplicity 6)

Output
DFT formation energy ... 0.17 eV per atom